## Sm4SbPb2Se (PBE)

Data for an optimized crystal structure of Sm4SbPb2Se.

Geometry as CIF:
```
data_Sm4SbPb2Se
_symmetry_space_group_name_H-M 'P 1'
_symmetry_Int_Tables_number 1
_symmetry_space_group_name_Hall 'P 1'
_cell_length_a 4.3105
_cell_length_b 7.9764
_cell_length_c 7.5208
_cell_angle_alpha 71.82
_cell_angle_beta 90.00
_cell_angle_gamma 90.00
loop_
_atom_site_label
_atom_site_fract_x
_atom_site_fract_y
_atom_site_fract_z
Sm1 0.0000 0.7379 0.7489
Sm2 0.0000 0.2621 0.2511
Sm3 0.5000 0.7347 0.2603
Sm4 0.5000 0.2653 0.7397
Sb1 0.5000 0.5000 0.0000
Pb1 0.0000 0.0000 0.0000
Pb2 0.5000 0.0000 0.5000
Se1 0.0000 0.5000 0.5000
```


## SrSbPbSe2 (PBE)

Data for an optimized crystal structure of SrSbPbSe2.

Geometry as CIF:
```
data_SrSbPbSe2
_symmetry_space_group_name_H-M 'P 1'
_symmetry_Int_Tables_number 1
_symmetry_space_group_name_Hall 'P 1'
_cell_length_a 5.5123
_cell_length_b 5.7155
_cell_length_c 5.5123
_cell_angle_alpha 90.00
_cell_angle_beta 90.00
_cell_angle_gamma 90.00
loop_
_atom_site_label
_atom_site_fract_x
_atom_site_fract_y
_atom_site_fract_z
Pb1 0.0000 0.5000 0.0000
Sb1 0.0000 0.0000 0.0000
Se1 0.0000 0.0000 0.5000
Se2 0.5000 0.0000 0.0000
Sr1 0.5000 0.5000 0.5000
```


## Tb6SbPb2Se3 (PBE)

Data for an optimized crystal structure of Tb6SbPb2Se3.

Geometry as CIF:
```
data_Tb6SbPb2Se3
_symmetry_space_group_name_H-M 'P 1'
_symmetry_Int_Tables_number 1
_symmetry_space_group_name_Hall 'P 1'
_cell_length_a 4.2854
_cell_length_b 8.5654
_cell_length_c 9.5651
_cell_angle_alpha 102.59
_cell_angle_beta 102.94
_cell_angle_gamma 90.00
loop_
_atom_site_label
_atom_site_fract_x
_atom_site_fract_y
_atom_site_fract_z
Tb1 0.3315 0.9224 0.6631
Tb2 0.6637 0.5892 0.3274
Tb3 0.6685 0.0776 0.3369
Tb4 0.9989 0.2547 0.9977
Tb5 0.0011 0.7453 0.0023
Tb6 0.3363 0.4108 0.6726
Sb1 0.5000 0.0000 0.0000
Pb1 0.8329 0.6667 0.6659
Pb2 0.1671 0.3333 0.3341
Se1 0.5000 0.5000 0.0000
Se2 0.8344 0.1664 0.6689
Se3 0.1656 0.8336 0.3311
```


## Tb6Sb3PbSe2 (PBE)

Data for an optimized crystal structure of Tb6Sb3PbSe2.

Geometry as CIF:
```
data_Tb6Sb3PbSe2
_symmetry_space_group_name_H-M 'P 1'
_symmetry_Int_Tables_number 1
_symmetry_space_group_name_Hall 'P 1'
_cell_length_a 4.3170
_cell_length_b 8.6658
_cell_length_c 9.6391
_cell_angle_alpha 102.74
_cell_angle_beta 102.94
_cell_angle_gamma 90.00
loop_
_atom_site_label
_atom_site_fract_x
_atom_site_fract_y
_atom_site_fract_z
Tb1 0.3318 0.9111 0.6635
Tb2 0.6687 0.5802 0.3373
Tb3 0.6682 0.0889 0.3365
Tb4 0.0041 0.2539 0.0082
Tb5 0.9959 0.7461 0.9918
Tb6 0.3313 0.4198 0.6627
Sb1 0.5000 0.5000 0.0000
Sb2 0.8343 0.1688 0.6686
Sb3 0.1657 0.8312 0.3314
Pb1 0.5000 0.0000 0.0000
Se1 0.8308 0.6622 0.6616
Se2 0.1692 0.3378 0.3384
```


## TcSb2PbSe (PBE)

Data for an optimized crystal structure of TcSb2PbSe.

Geometry as CIF:
```
data_TcSb2PbSe
_symmetry_space_group_name_H-M 'P 1'
_symmetry_Int_Tables_number 1
_symmetry_space_group_name_Hall 'P 1'
_cell_length_a 5.0755
_cell_length_b 5.3843
_cell_length_c 5.0755
_cell_angle_alpha 90.00
_cell_angle_beta 90.00
_cell_angle_gamma 90.00
loop_
_atom_site_label
_atom_site_fract_x
_atom_site_fract_y
_atom_site_fract_z
Pb1 0.0000 0.5000 0.0000
Sb1 0.0000 0.0000 0.5000
Sb2 0.5000 0.0000 0.0000
Tc1 0.0000 0.0000 0.0000
Se1 0.5000 0.5000 0.5000
```


# SbTe2PbSe, optimized geometry, DFT PBE
# ΔE to the lowest computed polymorph in meV per atom: 624.1
data_SbTe2PbSe
_symmetry_space_group_name_H-M 'P 1'
_symmetry_Int_Tables_number 1
_symmetry_space_group_name_Hall 'P 1'
_cell_length_a 5.7803
_cell_length_b 5.7803
_cell_length_c 5.9532
_cell_angle_alpha 90.00
_cell_angle_beta 90.00
_cell_angle_gamma 90.00
loop_
_atom_site_label
_atom_site_fract_x
_atom_site_fract_y
_atom_site_fract_z
Pb1 0.0000 0.0000 0.0000
Sb1 0.0000 0.0000 0.5000
Te1 0.0000 0.5000 0.0000
Te2 0.5000 0.0000 0.0000
Se1 0.5000 0.5000 0.5000


# SbTe2PbSe, optimized geometry, DFT PBE
# ΔE to the lowest computed polymorph in meV per atom: 0.0
data_SbTe2PbSe
_symmetry_space_group_name_H-M 'P 1'
_symmetry_Int_Tables_number 1
_symmetry_space_group_name_Hall 'P 1'
_cell_length_a 5.4854
_cell_length_b 5.4854
_cell_length_c 5.4885
_cell_angle_alpha 90.00
_cell_angle_beta 90.00
_cell_angle_gamma 90.00
loop_
_atom_site_label
_atom_site_fract_x
_atom_site_fract_y
_atom_site_fract_z
Pb1 0.5000 0.5000 0.5000
Sb1 0.0000 0.0000 0.5000
Te1 0.0000 0.5000 0.0000
Te2 0.5000 0.0000 0.0000
Se1 0.0000 0.0000 0.0000


## TlSbPb2Se4 (PBE)

Data for an optimized crystal structure of TlSbPb2Se4.

Geometry as CIF:
```
data_TlSbPb2Se4
_symmetry_space_group_name_H-M 'P 1'
_symmetry_Int_Tables_number 1
_symmetry_space_group_name_Hall 'P 1'
_cell_length_a 8.6979
_cell_length_b 8.6979
_cell_length_c 8.7301
_cell_angle_alpha 120.12
_cell_angle_beta 120.12
_cell_angle_gamma 89.75
loop_
_atom_site_label
_atom_site_fract_x
_atom_site_fract_y
_atom_site_fract_z
Tl1 0.0000 0.5000 0.0000
Tl2 0.0000 0.5000 0.5000
Sb1 0.5000 0.5000 0.5000
Sb2 0.0000 0.0000 0.0000
Pb1 0.5000 0.0000 0.0000
Pb2 0.5000 0.0000 0.5000
Pb3 0.0000 0.0000 0.5000
Pb4 0.5000 0.5000 0.0000
Se1 0.2498 0.7664 0.0081
Se2 0.7336 0.2502 0.4919
Se3 0.2664 0.7498 0.5081
Se4 0.7502 0.2336 0.9919
Se5 0.7465 0.7535 0.9850
Se6 0.7465 0.7535 0.5150
Se7 0.2535 0.2465 0.4850
Se8 0.2535 0.2465 0.0150
```


| no. | formation energy without anion corrections (meV/atom) | energy (eV/atom) |
| --- | --- | --- |
| 1 | -983 | -5.22 |
| 2 | -221 | -3.52 |
| 3 | -1241 | -5.39 |
| 4 | -1252 | -5.49 |
| 5 | 225 | -4.94 |
| 6 | 935 | -2.58 |
| 7 | 311 | -3.21 |
| 8 | -386 | -3.87 |